Record 1
First-principles (PBE-GGA) data for a relaxed structure of PmPr6NdSm2, as listed in the Alexandria database.

```
data_PmPr6NdSm2
_chemical_formula_sum 'Pm2 Pr12 Nd2 Sm4'
_cell_length_a 9.037
_cell_length_b 9.037
_cell_length_c 10.018
_cell_angle_alpha 94.66
_cell_angle_beta 94.66
_cell_angle_gamma 117.82
_symmetry_space_group_name_H-M 'P 1'
_symmetry_Int_Tables_number 1
_symmetry_space_group_name_Hall 'P 1'
loop_
_atom_site_label
_atom_site_fract_x
_atom_site_fract_y
_atom_site_fract_z
_atom_site_occupancy
Pm1 0.022 0.978 0.750 1
Pm2 0.978 0.022 0.250 1
Pr1 0.017 0.571 0.686 1
Pr2 0.114 0.750 0.055 1
Pr3 0.250 0.886 0.445 1
Pr4 0.297 0.504 0.879 1
Pr5 0.429 0.983 0.814 1
Pr6 0.496 0.703 0.621 1
Pr7 0.504 0.297 0.379 1
Pr8 0.571 0.017 0.186 1
Pr9 0.703 0.496 0.121 1
Pr10 0.750 0.114 0.555 1
Pr11 0.886 0.250 0.945 1
Pr12 0.983 0.429 0.314 1
Nd1 0.406 0.594 0.250 1
Nd2 0.594 0.406 0.750 1
Sm1 0.193 0.290 0.544 1
Sm2 0.290 0.193 0.044 1
Sm3 0.710 0.807 0.956 1
Sm4 0.807 0.710 0.456 1
```

Space-group type: C2/c
E_tot: -46.53 eV per formula unit
E_form: 110 meV per atom


Record 2
First-principles (PBE-GGA) data for a relaxed structure of BeAgCl, as listed in the Alexandria database.

```
data_BeAgCl
_chemical_formula_sum 'Be1 Ag1 Cl1'
_cell_length_a 7.279
_cell_length_b 6.885
_cell_length_c 3.207
_cell_angle_alpha 83.90
_cell_angle_beta 70.12
_cell_angle_gamma 25.98
_symmetry_space_group_name_H-M 'P 1'
_symmetry_Int_Tables_number 1
_symmetry_space_group_name_Hall 'P 1'
loop_
_atom_site_label
_atom_site_fract_x
_atom_site_fract_y
_atom_site_fract_z
_atom_site_occupancy
Be1 0.000 0.000 0.000 1
Ag1 0.364 0.364 0.636 1
Cl1 0.601 0.601 0.399 1
```

Space-group type: Fmm2
E above lowest polymorph: 81 meV per atom
E_tot: -8.82 eV per formula unit


Record 3
First-principles (PBE-GGA) data for a relaxed structure of PrY2Er3, as listed in the Alexandria database.

```
data_PrY2Er3
_chemical_formula_sum 'Pr2 Y4 Er6'
_cell_length_a 6.216
_cell_length_b 7.184
_cell_length_c 8.853
_cell_angle_alpha 101.68
_cell_angle_beta 96.65
_cell_angle_gamma 90.01
_symmetry_space_group_name_H-M 'P 1'
_symmetry_Int_Tables_number 1
_symmetry_space_group_name_Hall 'P 1'
loop_
_atom_site_label
_atom_site_fract_x
_atom_site_fract_y
_atom_site_fract_z
_atom_site_occupancy
Pr1 0.248 0.126 0.001 1
Pr2 0.752 0.874 0.999 1
Y1 0.358 0.789 0.664 1
Y2 0.361 0.292 0.664 1
Y3 0.639 0.708 0.336 1
Y4 0.642 0.211 0.336 1
Er1 0.137 0.460 0.335 1
Er2 0.140 0.957 0.336 1
Er3 0.249 0.624 0.002 1
Er4 0.751 0.376 0.998 1
Er5 0.860 0.043 0.664 1
Er6 0.863 0.540 0.665 1
```

Space-group type: P-1
E above lowest polymorph: 0 meV per atom
E_tot: -31.39 eV per formula unit
E_form: 0 meV per atom


Record 4
First-principles (PBE-GGA) data for a relaxed structure of Tb12Y5Er, as listed in the Alexandria database.

```
data_Tb12Y5Er
_chemical_formula_sum 'Tb12 Y5 Er1'
_cell_length_a 10.681
_cell_length_b 10.681
_cell_length_c 5.034
_cell_angle_alpha 90.00
_cell_angle_beta 90.00
_cell_angle_gamma 90.08
_symmetry_space_group_name_H-M 'P 1'
_symmetry_Int_Tables_number 1
_symmetry_space_group_name_Hall 'P 1'
loop_
_atom_site_label
_atom_site_fract_x
_atom_site_fract_y
_atom_site_fract_z
_atom_site_occupancy
Tb1 0.001 0.333 0.500 1
Tb2 0.166 0.499 0.000 1
Tb3 0.167 0.167 0.000 1
Tb4 0.333 0.001 0.500 1
Tb5 0.333 0.333 0.500 1
Tb6 0.499 0.166 0.000 1
Tb7 0.501 0.834 0.000 1
Tb8 0.667 0.667 0.500 1
Tb9 0.667 0.999 0.500 1
Tb10 0.833 0.833 0.000 1
Tb11 0.834 0.501 0.000 1
Tb12 0.999 0.667 0.500 1
Y1 0.166 0.834 0.000 1
Y2 0.333 0.667 0.500 1
Y3 0.500 0.500 0.000 1
Y4 0.667 0.333 0.500 1
Y5 0.834 0.166 0.000 1
Er1 0.000 0.000 0.500 1
```

Space-group type: Cmmm
E_tot: -92.11 eV per formula unit
E_form: 19 meV per atom


Record 5
First-principles (PBE-GGA) data for a relaxed structure of LiNp3Tl4Se8, as listed in the Alexandria database.

```
data_LiNp3Tl4Se8
_chemical_formula_sum 'Li1 Np3 Tl4 Se8'
_cell_length_a 9.092
_cell_length_b 9.092
_cell_length_c 9.092
_cell_angle_alpha 54.68
_cell_angle_beta 54.68
_cell_angle_gamma 54.68
_symmetry_space_group_name_H-M 'P 1'
_symmetry_Int_Tables_number 1
_symmetry_space_group_name_Hall 'P 1'
loop_
_atom_site_label
_atom_site_fract_x
_atom_site_fract_y
_atom_site_fract_z
_atom_site_occupancy
Li1 0.000 0.000 0.000 1
Np1 0.000 0.500 0.500 1
Np2 0.500 0.000 0.500 1
Np3 0.500 0.500 0.000 1
Tl1 0.000 0.000 0.500 1
Tl2 0.000 0.500 0.000 1
Tl3 0.500 0.000 0.000 1
Tl4 0.500 0.500 0.500 1
Se1 0.236 0.236 0.726 1
Se2 0.236 0.726 0.236 1
Se3 0.265 0.265 0.265 1
Se4 0.274 0.764 0.764 1
Se5 0.726 0.236 0.236 1
Se6 0.735 0.735 0.735 1
Se7 0.764 0.274 0.764 1
Se8 0.764 0.764 0.274 1
```

Space-group type: R-3m
E_tot: -92.24 eV per formula unit


Record 6
First-principles (PBE-GGA) data for a relaxed structure of LiNdHg2, as listed in the Alexandria database.

```
data_LiNdHg2
_chemical_formula_sum 'Li1 Nd1 Hg2'
_cell_length_a 5.290
_cell_length_b 5.290
_cell_length_c 3.603
_cell_angle_alpha 90.00
_cell_angle_beta 90.00
_cell_angle_gamma 90.00
_symmetry_space_group_name_H-M 'P 1'
_symmetry_Int_Tables_number 1
_symmetry_space_group_name_Hall 'P 1'
loop_
_atom_site_label
_atom_site_fract_x
_atom_site_fract_y
_atom_site_fract_z
_atom_site_occupancy
Li1 0.000 0.000 0.000 1
Nd1 0.500 0.500 0.000 1
Hg1 0.000 0.500 0.500 1
Hg2 0.500 0.000 0.500 1
```

Space-group type: P4/mmm
E above lowest polymorph: 86 meV per atom
E_tot: -8.76 eV per formula unit
E_form: -370 meV per atom


Record 7
First-principles (PBE-GGA) data for a relaxed structure of Na3Tl2Au, as listed in the Alexandria database.

```
data_Na3Tl2Au
_chemical_formula_sum 'Na6 Tl4 Au2'
_cell_length_a 8.129
_cell_length_b 8.129
_cell_length_c 8.377
_cell_angle_alpha 90.00
_cell_angle_beta 90.00
_cell_angle_gamma 145.16
_symmetry_space_group_name_H-M 'P 1'
_symmetry_Int_Tables_number 1
_symmetry_space_group_name_Hall 'P 1'
loop_
_atom_site_label
_atom_site_fract_x
_atom_site_fract_y
_atom_site_fract_z
_atom_site_occupancy
Na1 0.000 0.000 0.247 1
Na2 0.000 0.000 0.753 1
Na3 0.322 0.678 0.292 1
Na4 0.322 0.678 0.708 1
Na5 0.678 0.322 0.292 1
Na6 0.678 0.322 0.708 1
Tl1 0.172 0.828 0.000 1
Tl2 0.500 0.500 0.000 1
Tl3 0.500 0.500 0.500 1
Tl4 0.828 0.172 0.000 1
Au1 0.139 0.861 0.500 1
Au2 0.861 0.139 0.500 1
```

Space-group type: Cmmm
E above lowest polymorph: 0 meV per atom
E_tot: -12.93 eV per formula unit
E_form: -160 meV per atom


Record 8
First-principles (PBE-GGA) data for a relaxed structure of Cs2PIBr6, as listed in the Alexandria database.

```
data_Cs2PIBr6
_chemical_formula_sum 'Cs2 P1 I1 Br6'
_cell_length_a 8.251
_cell_length_b 8.251
_cell_length_c 8.251
_cell_angle_alpha 122.12
_cell_angle_beta 122.12
_cell_angle_gamma 86.36
_symmetry_space_group_name_H-M 'P 1'
_symmetry_Int_Tables_number 1
_symmetry_space_group_name_Hall 'P 1'
loop_
_atom_site_label
_atom_site_fract_x
_atom_site_fract_y
_atom_site_fract_z
_atom_site_occupancy
Cs1 0.250 0.750 0.500 1
Cs2 0.750 0.250 0.500 1
P1 0.000 0.000 0.000 1
I1 0.500 0.500 0.000 1
Br1 0.208 0.208 0.000 1
Br2 0.220 0.220 0.439 1
Br3 0.220 0.780 0.000 1
Br4 0.780 0.220 0.000 1
Br5 0.780 0.780 0.561 1
Br6 0.792 0.792 0.000 1
```

Space-group type: I4/mmm
E_tot: -26.91 eV per formula unit


Copy entry 3 word for word.
First-principles (PBE-GGA) data for a relaxed structure of PrY2Er3, as listed in the Alexandria database.

```
data_PrY2Er3
_chemical_formula_sum 'Pr2 Y4 Er6'
_cell_length_a 6.216
_cell_length_b 7.184
_cell_length_c 8.853
_cell_angle_alpha 101.68
_cell_angle_beta 96.65
_cell_angle_gamma 90.01
_symmetry_space_group_name_H-M 'P 1'
_symmetry_Int_Tables_number 1
_symmetry_space_group_name_Hall 'P 1'
loop_
_atom_site_label
_atom_site_fract_x
_atom_site_fract_y
_atom_site_fract_z
_atom_site_occupancy
Pr1 0.248 0.126 0.001 1
Pr2 0.752 0.874 0.999 1
Y1 0.358 0.789 0.664 1
Y2 0.361 0.292 0.664 1
Y3 0.639 0.708 0.336 1
Y4 0.642 0.211 0.336 1
Er1 0.137 0.460 0.335 1
Er2 0.140 0.957 0.336 1
Er3 0.249 0.624 0.002 1
Er4 0.751 0.376 0.998 1
Er5 0.860 0.043 0.664 1
Er6 0.863 0.540 0.665 1
```

Space-group type: P-1
E above lowest polymorph: 0 meV per atom
E_tot: -31.39 eV per formula unit
E_form: 0 meV per atom


Question: What is the formula in the fifth record?
Answer: LiNp3Tl4Se8